Model A:
A relaxed structure of Ag2Ir, computed with GGA-PBE.

Unit cell a=2.8021 b=2.8021 c=7.2350 alpha=90.00 beta=90.00 gamma=120.00
Atoms (fractional coordinates):
Ag 0.3333 0.6667 0.1698
Ag 0.6667 0.3333 0.8302
Ir 0.0000 0.0000 0.5000

Space group ... No. 164

---

Model B:
A relaxed structure of Ag2Ir, computed with GGA-PBE.

Unit cell a=8.0803 b=8.0803 c=2.6851 alpha=90.00 beta=90.00 gamma=120.00
Atoms (fractional coordinates):
Ag 0.0000 0.3054 0.0000
Ag 0.0000 0.6371 0.5000
Ag 0.3054 0.0000 0.0000
Ag 0.3629 0.3629 0.5000
Ag 0.6371 0.0000 0.5000
Ag 0.6946 0.6946 0.0000
Ir 0.0000 0.0000 0.5000
Ir 0.3333 0.6667 0.0000
Ir 0.6667 0.3333 0.0000

Space group ... No. 189

---

Most stable of them? model A.

---

Model A:
A relaxed structure of Ag2Ir, computed with GGA-PBE.

Unit cell a=5.3199 b=5.3199 c=5.3199 alpha=102.38 beta=102.38 gamma=124.83
Atoms (fractional coordinates):
Ag 0.1551 0.6551 0.8102
Ag 0.3449 0.1551 0.5000
Ag 0.6551 0.8449 0.5000
Ag 0.8449 0.3449 0.1898
Ir 0.2500 0.2500 0.0000
Ir 0.7500 0.7500 0.0000

Space group ... No. 140

---

Model B:
A relaxed structure of Ag2Ir, computed with GGA-PBE.

Unit cell a=5.5691 b=5.5691 c=6.9200 alpha=106.34 beta=106.34 gamma=29.14
Atoms (fractional coordinates):
Ag 0.0000 0.0000 0.0000
Ag 0.0443 0.0443 0.6147
Ag 0.3208 0.3208 0.6678
Ag 0.6519 0.6519 0.3385
Ir 0.3689 0.3689 0.2628
Ir 0.7283 0.7283 0.9655

Space group ... No. 8

---

Model C:
A relaxed structure of Ag2Ir, computed with GGA-PBE.

Unit cell a=4.6054 b=4.6054 c=5.5389 alpha=90.00 beta=90.00 gamma=120.00
Atoms (fractional coordinates):
Ag 0.0000 0.0000 0.0000
Ag 0.0000 0.0000 0.5000
Ag 0.3333 0.6667 0.2500
Ag 0.6667 0.3333 0.7500
Ir 0.3333 0.6667 0.7500
Ir 0.6667 0.3333 0.2500

Space group ... No. 194

---

Model D:
A relaxed structure of Ag2Ir, computed with GGA-PBE.

Unit cell a=10.2243 b=10.2243 c=10.2243 alpha=165.18 beta=156.00 gamma=28.32
Atoms (fractional coordinates):
Ag 0.2925 0.0425 0.2500
Ag 0.4356 0.1856 0.2500
Ag 0.5644 0.8144 0.7500
Ag 0.7075 0.9575 0.7500
Ir 0.1366 0.3866 0.7500
Ir 0.8634 0.6134 0.2500

Space group ... No. 74

---

Most stable of them? model B.

---

Model A:
A relaxed structure of AgIr4, computed with GGA-PBE.

Unit cell a=6.7072 b=6.7072 c=6.7072 alpha=147.99 beta=147.99 gamma=45.89
Atoms (fractional coordinates):
Ag 0.0000 0.0000 0.0000
Ir 0.2500 0.7500 0.5000
Ir 0.3995 0.3995 0.0000
Ir 0.6005 0.6005 0.0000
Ir 0.7500 0.2500 0.5000

Space group ... No. 139

---

Model B:
A relaxed structure of AgIr4, computed with GGA-PBE.

Unit cell a=4.7074 b=4.7074 c=4.7074 alpha=90.00 beta=90.00 gamma=90.00
Atoms (fractional coordinates):
Ag 0.0000 0.0000 0.0000
Ir 0.0000 0.0000 0.5000
Ir 0.0000 0.5000 0.0000
Ir 0.5000 0.0000 0.0000
Ir 0.5000 0.5000 0.5000

Space group ... No. 221

---

Most stable of them? model A.

---

Model A:
A relaxed structure of KAgIr2, computed with GGA-PBE.

Unit cell a=2.8473 b=2.8473 c=9.4515 alpha=90.00 beta=90.00 gamma=90.00
Atoms (fractional coordinates):
K 0.0000 0.0000 0.0000
Ag 0.5000 0.5000 0.3131
Ir 0.0000 0.0000 0.5365
Ir 0.5000 0.5000 0.7147

Space group ... No. 99

---

Model B:
A relaxed structure of KAgIr2, computed with GGA-PBE.

Unit cell a=2.7262 b=5.2299 c=5.2532 alpha=90.00 beta=99.23 gamma=90.00
Atoms (fractional coordinates):
K 0.0000 0.0000 0.0000
Ag 0.5000 0.0000 0.5000
Ir 0.3270 0.5000 0.7225
Ir 0.6730 0.5000 0.2775

Space group ... No. 10

---

Most stable of them? model A.

---

Model A:
A relaxed structure of KAgIr2, computed with GGA-PBE.

Unit cell a=10.5081 b=10.5081 c=10.5081 alpha=155.66 beta=155.66 gamma=34.69
Atoms (fractional coordinates):
K 0.0000 0.0000 0.0000
K 0.7500 0.2500 0.5000
Ag 0.2500 0.7500 0.5000
Ag 0.5000 0.5000 0.0000
Ir 0.2726 0.6250 0.1476
Ir 0.3750 0.5226 0.6476
Ir 0.4774 0.1250 0.8524
Ir 0.8750 0.7274 0.3524

Space group ... No. 122

---

Model B:
A relaxed structure of KAgIr2, computed with GGA-PBE.

Unit cell a=4.7045 b=4.7045 c=4.7045 alpha=119.94 beta=119.94 gamma=90.11
Atoms (fractional coordinates):
K 0.0000 0.0000 0.0000
Ag 0.7500 0.2500 0.5000
Ir 0.2500 0.7500 0.5000
Ir 0.5000 0.5000 0.0000

Space group ... No. 119

---

Model C:
A relaxed structure of KAgIr2, computed with GGA-PBE.

Unit cell a=4.7120 b=4.7120 c=4.7120 alpha=60.00 beta=60.00 gamma=60.00
Atoms (fractional coordinates):
K 0.0000 0.0000 0.0000
Ag 0.5000 0.5000 0.5000
Ir 0.2500 0.2500 0.2500
Ir 0.7500 0.7500 0.7500

Space group ... No. 225

---

Most stable of them? model A.

---

Model A:
A relaxed structure of KAgIr2, computed with GGA-PBE.

Unit cell a=5.7158 b=5.7158 c=5.7158 alpha=140.34 beta=140.34 gamma=57.34
Atoms (fractional coordinates):
K 0.0000 0.0000 0.0000
Ag 0.5000 0.5000 0.0000
Ir 0.2500 0.7500 0.5000
Ir 0.7500 0.2500 0.5000

Space group ... No. 139

---

Model B:
A relaxed structure of KAgIr2, computed with GGA-PBE.

Unit cell a=10.5496 b=10.5496 c=10.5496 alpha=15.46 beta=15.46 gamma=15.46
Atoms (fractional coordinates):
K 0.0000 0.0000 0.0000
Ag 0.7637 0.7637 0.7637
Ir 0.2423 0.2423 0.2423
Ir 0.5082 0.5082 0.5082

Space group ... No. 160

---

Most stable of them? model B.

---

Model A:
A relaxed structure of KAg2Ir2, computed with GGA-PBE.

Unit cell a=8.4838 b=8.4838 c=2.6956 alpha=90.00 beta=90.00 gamma=90.00
Atoms (fractional coordinates):
K 0.0000 0.0000 0.0000
K 0.5000 0.5000 0.0000
Ag 0.1869 0.3131 0.5000
Ag 0.3131 0.8131 0.5000
Ag 0.6869 0.1869 0.5000
Ag 0.8131 0.6869 0.5000
Ir 0.1066 0.6066 0.0000
Ir 0.3934 0.1066 0.0000
Ir 0.6066 0.8934 0.0000
Ir 0.8934 0.3934 0.0000

Space group ... No. 127

---

Model B:
A relaxed structure of KAg2Ir2, computed with GGA-PBE.

Unit cell a=6.0694 b=6.0694 c=6.0694 alpha=134.81 beta=134.81 gamma=65.83
Atoms (fractional coordinates):
K 0.0000 0.0000 0.0000
Ag 0.2500 0.7500 0.5000
Ag 0.7500 0.2500 0.5000
Ir 0.3865 0.3865 0.0000
Ir 0.6135 0.6135 0.0000

Space group ... No. 139

---

Most stable of them? model A.

---

Model A:
A relaxed structure of LaAg3Ir, computed with GGA-PBE.

Unit cell a=5.0577 b=5.0577 c=5.0577 alpha=90.00 beta=90.00 gamma=90.00
Atoms (fractional coordinates):
La 0.0000 0.0000 0.0000
Ag 0.0000 0.5000 0.5000
Ag 0.5000 0.0000 0.5000
Ag 0.5000 0.5000 0.0000
Ir 0.5000 0.5000 0.5000

Space group ... No. 221

---

Model B:
A relaxed structure of LaAg3Ir, computed with GGA-PBE.

Unit cell a=5.3209 b=5.3209 c=5.3209 alpha=90.00 beta=90.00 gamma=90.00
Atoms (fractional coordinates):
La 0.0000 0.0000 0.0000
Ag 0.0000 0.0000 0.5000
Ag 0.0000 0.5000 0.0000
Ag 0.5000 0.0000 0.0000
Ir 0.5000 0.5000 0.5000

Space group ... No. 221

---

Most stable of them? model A.

---

Model A:
A relaxed structure of La8Ag2Ir, computed with GGA-PBE.

Unit cell a=9.9037 b=9.9037 c=7.0201 alpha=109.90 beta=109.90 gamma=31.98
Atoms (fractional coordinates):
La 0.0201 0.0201 0.3033
La 0.2053 0.2053 0.8266
La 0.3376 0.3376 0.4915
La 0.4108 0.4108 0.0547
La 0.5892 0.5892 0.9453
La 0.6624 0.6624 0.5085
La 0.7947 0.7947 0.1734
La 0.9799 0.9799 0.6967
Ag 0.1682 0.1682 0.2269
Ag 0.8318 0.8318 0.7731
Ir 0.5000 0.5000 0.5000

Space group ... No. 12

---

Model B:
A relaxed structure of La8Ag2Ir, computed with GGA-PBE.

Unit cell a=9.6623 b=9.6623 c=7.4799 alpha=93.45 beta=93.45 gamma=30.10
Atoms (fractional coordinates):
La 0.0092 0.0092 0.2727
La 0.2120 0.2120 0.8349
La 0.3523 0.3523 0.5030
La 0.4082 0.4082 0.0272
La 0.5918 0.5918 0.9728
La 0.6477 0.6477 0.4970
La 0.7880 0.7880 0.1651
La 0.9908 0.9908 0.7273
Ag 0.1842 0.1842 0.2451
Ag 0.8158 0.8158 0.7549
Ir 0.5000 0.5000 0.5000

Space group ... No. 12

---

Most stable of them? model B.

---

Model A:
A relaxed structure of Sr2LaAgIr, computed with GGA-PBE.

Unit cell a=5.8898 b=5.8898 c=5.4185 alpha=90.00 beta=90.00 gamma=90.00
Atoms (fractional coordinates):
Sr 0.0000 0.5000 0.0000
Sr 0.5000 0.0000 0.0000
La 0.0000 0.0000 0.5000
Ag 0.5000 0.5000 0.5000
Ir 0.0000 0.0000 0.0000

Space group ... No. 123

---

Model B:
A relaxed structure of Sr2LaAgIr, computed with GGA-PBE.

Unit cell a=6.4133 b=6.4133 c=4.8681 alpha=90.00 beta=90.00 gamma=90.00
Atoms (fractional coordinates):
Sr 0.0000 0.5000 0.0000
Sr 0.5000 0.0000 0.0000
La 0.0000 0.0000 0.0000
Ag 0.5000 0.5000 0.5000
Ir 0.0000 0.0000 0.5000

Space group ... No. 123

---

Most stable of them? model A.

---

Model A:
A relaxed structure of SrLa2AgIr, computed with GGA-PBE.

Unit cell a=5.4978 b=5.4978 c=5.5901 alpha=90.00 beta=90.00 gamma=90.00
Atoms (fractional coordinates):
Sr 0.0000 0.0000 0.0000
La 0.0000 0.5000 0.5000
La 0.5000 0.0000 0.5000
Ag 0.5000 0.5000 0.0000
Ir 0.5000 0.5000 0.5000

Space group ... No. 123

---

Model B:
A relaxed structure of SrLa2AgIr, computed with GGA-PBE.

Unit cell a=5.5081 b=5.5081 c=6.0272 alpha=90.00 beta=90.00 gamma=90.00
Atoms (fractional coordinates):
Sr 0.0000 0.0000 0.0000
La 0.0000 0.5000 0.5000
La 0.5000 0.0000 0.5000
Ag 0.5000 0.5000 0.0000
Ir 0.0000 0.0000 0.5000

Space group ... No. 123

---

Most stable of them? model B.

---

Model A:
A relaxed structure of Li2AgIr2, computed with GGA-PBE.

Unit cell a=7.3604 b=7.3604 c=7.3604 alpha=152.21 beta=152.21 gamma=39.71
Atoms (fractional coordinates):
Li 0.1027 0.1027 0.0000
Li 0.8973 0.8973 0.0000
Ag 0.5000 0.5000 0.0000
Ir 0.2500 0.7500 0.5000
Ir 0.7500 0.2500 0.5000

Space group ... No. 139

---

Model B:
A relaxed structure of Li2AgIr2, computed with GGA-PBE.

Unit cell a=7.5189 b=7.5189 c=2.6043 alpha=90.00 beta=90.00 gamma=90.00
Atoms (fractional coordinates):
Li 0.1715 0.3285 0.0000
Li 0.3285 0.8285 0.0000
Li 0.6715 0.1715 0.0000
Li 0.8285 0.6715 0.0000
Ag 0.0000 0.0000 0.0000
Ag 0.5000 0.5000 0.0000
Ir 0.1210 0.6210 0.5000
Ir 0.3790 0.1210 0.5000
Ir 0.6210 0.8790 0.5000
Ir 0.8790 0.3790 0.5000

Space group ... No. 127

---

Most stable of them? model B.